1.
# MnCdBr2 (meta-GGA SCAN, single point on PBEsol structure)
data_MnCdBr2
_cell_length_a 5.9153
_cell_length_b 5.9153
_cell_length_c 5.9153
_cell_angle_alpha 146.22
_cell_angle_beta 117.44
_cell_angle_gamma 73.03
_symmetry_space_group_name_H-M 'P 1'
_symmetry_Int_Tables_number 1
loop_
_symmetry_equiv_pos_as_xyz
'x,y,z'
loop_
_atom_site_label
_atom_site_type_symbol
_atom_site_fract_x
_atom_site_fract_y
_atom_site_fract_z
_atom_site_occupancy
Mn1 Mn 0.0000 0.0000 0.0000 1
Cd1 Cd 0.7634 0.2634 0.5000 1
Br1 Br 0.1985 0.6985 0.5000 1
Br2 Br 0.5262 0.5262 0.0000 1
# Raw formation energy: -524 meV/atom
# M_tot: 5.00 μB per cell
# Energy: -1.648 Ry/atom

2.
# Hg3RhI (meta-GGA SCAN, single point on PBEsol structure)
data_Hg3RhI
_cell_length_a 5.1706
_cell_length_b 5.1706
_cell_length_c 5.1706
_cell_angle_alpha 90.00
_cell_angle_beta 90.00
_cell_angle_gamma 90.00
_symmetry_space_group_name_H-M 'P 1'
_symmetry_Int_Tables_number 1
loop_
_symmetry_equiv_pos_as_xyz
'x,y,z'
loop_
_atom_site_label
_atom_site_type_symbol
_atom_site_fract_x
_atom_site_fract_y
_atom_site_fract_z
_atom_site_occupancy
Hg1 Hg 0.0000 0.0000 0.5000 1
Hg2 Hg 0.0000 0.5000 0.0000 1
Hg3 Hg 0.5000 0.0000 0.0000 1
Rh1 Rh 0.0000 0.0000 0.0000 1
I1 I 0.5000 0.5000 0.5000 1
# Raw formation energy: 177 meV/atom
# M_tot: 0.00 μB per cell
# Energy: -4.030 Ry/atom

3.
# MnP3N (meta-GGA SCAN, single point on PBEsol structure)
data_MnP3N
_cell_length_a 3.9693
_cell_length_b 3.9693
_cell_length_c 3.9693
_cell_angle_alpha 90.00
_cell_angle_beta 90.00
_cell_angle_gamma 90.00
_symmetry_space_group_name_H-M 'P 1'
_symmetry_Int_Tables_number 1
loop_
_symmetry_equiv_pos_as_xyz
'x,y,z'
loop_
_atom_site_label
_atom_site_type_symbol
_atom_site_fract_x
_atom_site_fract_y
_atom_site_fract_z
_atom_site_occupancy
Mn1 Mn 0.0000 0.0000 0.0000 1
P1 P 0.0000 0.5000 0.5000 1
P2 P 0.5000 0.0000 0.5000 1
P3 P 0.5000 0.5000 0.0000 1
N1 N 0.5000 0.5000 0.5000 1
# Raw formation energy: 730 meV/atom
# M_tot: 3.17 μB per cell
# Energy: -0.810 Ry/atom

4.
# Os3PdC (meta-GGA SCAN, single point on PBEsol structure)
data_Os3PdC
_cell_length_a 4.0165
_cell_length_b 4.0165
_cell_length_c 4.0165
_cell_angle_alpha 90.00
_cell_angle_beta 90.00
_cell_angle_gamma 90.00
_symmetry_space_group_name_H-M 'P 1'
_symmetry_Int_Tables_number 1
loop_
_symmetry_equiv_pos_as_xyz
'x,y,z'
loop_
_atom_site_label
_atom_site_type_symbol
_atom_site_fract_x
_atom_site_fract_y
_atom_site_fract_z
_atom_site_occupancy
Os1 Os 0.0000 0.0000 0.5000 1
Os2 Os 0.0000 0.5000 0.0000 1
Os3 Os 0.5000 0.0000 0.0000 1
Pd1 Pd 0.5000 0.5000 0.5000 1
C1 C 0.0000 0.0000 0.0000 1
# M_tot: 0.00 μB per cell
# Energy: -3.748 Ry/atom
# Energy relative to the elements: 0.709 eV/atom

5.
# Cr3CF (meta-GGA SCAN, single point on PBEsol structure)
data_Cr3CF
_cell_length_a 4.0467
_cell_length_b 4.0467
_cell_length_c 4.0467
_cell_angle_alpha 90.00
_cell_angle_beta 90.00
_cell_angle_gamma 90.00
_symmetry_space_group_name_H-M 'P 1'
_symmetry_Int_Tables_number 1
loop_
_symmetry_equiv_pos_as_xyz
'x,y,z'
loop_
_atom_site_label
_atom_site_type_symbol
_atom_site_fract_x
_atom_site_fract_y
_atom_site_fract_z
_atom_site_occupancy
Cr1 Cr 0.0000 0.0000 0.5000 1
Cr2 Cr 0.0000 0.5000 0.0000 1
Cr3 Cr 0.5000 0.0000 0.0000 1
C1 C 0.0000 0.0000 0.0000 1
F1 F 0.5000 0.5000 0.5000 1
# Raw formation energy: -50 meV/atom
# M_tot: 12.61 μB per cell
# Energy: -1.015 Ry/atom

6.
# Tb2Be2GeO7 (meta-GGA SCAN, single point on PBEsol structure)
data_Tb2Be2GeO7
_cell_length_a 7.3903
_cell_length_b 7.3903
_cell_length_c 4.7818
_cell_angle_alpha 90.00
_cell_angle_beta 90.00
_cell_angle_gamma 90.00
_symmetry_space_group_name_H-M 'P 1'
_symmetry_Int_Tables_number 1
loop_
_symmetry_equiv_pos_as_xyz
'x,y,z'
loop_
_atom_site_label
_atom_site_type_symbol
_atom_site_fract_x
_atom_site_fract_y
_atom_site_fract_z
_atom_site_occupancy
Tb1 Tb 0.1581 0.3419 0.4947 1
Tb2 Tb 0.3419 0.8419 0.5053 1
Tb3 Tb 0.6581 0.1581 0.5053 1
Tb4 Tb 0.8419 0.6581 0.4947 1
Be1 Be 0.1352 0.6352 0.9529 1
Be2 Be 0.3648 0.1352 0.0471 1
Be3 Be 0.6352 0.8648 0.0471 1
Be4 Be 0.8648 0.3648 0.9529 1
Ge1 Ge 0.0000 0.0000 0.0000 1
Ge2 Ge 0.5000 0.5000 0.0000 1
O1 O 0.0000 0.5000 0.8143 1
O2 O 0.0808 0.8281 0.7822 1
O3 O 0.1420 0.6420 0.2841 1
O4 O 0.1719 0.0808 0.2178 1
O5 O 0.3281 0.5808 0.7822 1
O6 O 0.3580 0.1420 0.7159 1
O7 O 0.4192 0.3281 0.2178 1
O8 O 0.5000 0.0000 0.1857 1
O9 O 0.5808 0.6719 0.2178 1
O10 O 0.6420 0.8580 0.7159 1
O11 O 0.6719 0.4192 0.7822 1
O12 O 0.8281 0.9192 0.2178 1
O13 O 0.8580 0.3580 0.2841 1
O14 O 0.9192 0.1719 0.7822 1
# Raw formation energy: -3155 meV/atom
# M_tot: 0.00 μB per cell
# Energy: -1.242 Ry/atom

DOS at the Fermi energy in states/eV/cell, matching the order above: 0.13, 4.08, 1.49, 3.00, 1.52, 0.00
V in Å³/atom, matching the order above: 25.10, 27.65, 12.51, 12.96, 13.25, 10.88